{"formula": "LiTi3VO8", "functional": "GGA+U", "state": "optimized geometry", "sg": "R-3m, No. 166", "dft_energy_ev_per_cell": -107.33, "lattice_angstrom": [[2.994, 1.728, 5.054], [-2.994, 1.728, 5.054], [0.000, -3.457, 5.054]], "species": ["Li", "Ti", "Ti", "Ti", "V", "O", "O", "O", "O", "O", "O", "O", "O"], "frac_coords": [[0.000, 0.000, 0.000], [0.000, 0.000, 0.500], [0.000, 0.500, 0.000], [0.500, 0.000, 0.000], [0.500, 0.500, 0.500], [0.220, 0.741, 0.741], [0.232, 0.232, 0.232], [0.259, 0.259, 0.780], [0.259, 0.780, 0.259], [0.741, 0.220, 0.741], [0.741, 0.741, 0.220], [0.768, 0.768, 0.768], [0.780, 0.259, 0.259]]}